# CrTc2Ni | Alexandria via LeMat-Bulk | PBE | relaxed
data_CrTc2Ni
_cell_length_a 5.925
_cell_length_b 5.925
_cell_length_c 5.925
_cell_angle_alpha 90.00
_cell_angle_beta 90.00
_cell_angle_gamma 90.00
_space_group_name_H-M_alt 'F m -3 m'
_space_group_IT_number 225
_space_group_name_Hall '-F 4 2 3'
loop_
_atom_site_label
_atom_site_type_symbol
_atom_site_fract_x
_atom_site_fract_y
_atom_site_fract_z
Cr1 Cr 0.000 0.000 0.000
Tc1 Tc 0.250 0.250 0.250
Ni1 Ni 0.000 0.000 0.500
# - E_tot (eV per atom) = -8.87
# - magnetization (μB per cell) = 0.00
# - formation energy (eV per atom) = 0.16

=====

# ReNi2Hg | Alexandria via LeMat-Bulk | PBE | relaxed
data_ReNi2Hg
_cell_length_a 2.862
_cell_length_b 2.862
_cell_length_c 6.996
_cell_angle_alpha 90.00
_cell_angle_beta 90.00
_cell_angle_gamma 90.00
_space_group_name_H-M_alt 'P 4 m m'
_space_group_IT_number 99
loop_
_space_group_symop_operation_xyz
'x,y,z'
'-y,x,z'
'-x,-y,z'
'y,-x,z'
'-x,y,z'
'y,x,z'
'x,-y,z'
'-y,-x,z'
loop_
_atom_site_label
_atom_site_type_symbol
_atom_site_fract_x
_atom_site_fract_y
_atom_site_fract_z
Re1 Re 0.000 0.000 0.000
Ni1 Ni 0.000 0.000 0.592
Ni2 Ni 0.500 0.500 0.792
Hg1 Hg 0.500 0.500 0.321
# - E_tot (eV per atom) = -5.71
# - magnetization (μB per cell) = 0.00
# - formation energy (eV per atom) = 0.36

=====

# Ac2TlCdPt | Alexandria via LeMat-Bulk | PBE | relaxed
data_Ac2TlCdPt
_cell_length_a 8.274
_cell_length_b 4.686
_cell_length_c 8.337
_cell_angle_alpha 90.00
_cell_angle_beta 110.07
_cell_angle_gamma 90.00
_space_group_name_H-M_alt 'P 1 21/m 1'
_space_group_IT_number 11
loop_
_space_group_symop_operation_xyz
'x,y,z'
'-x,-y,-z'
'-x,y+1/2,-z'
'x,-y+1/2,z'
loop_
_atom_site_label
_atom_site_type_symbol
_atom_site_fract_x
_atom_site_fract_y
_atom_site_fract_z
Ac1 Ac 0.028 0.250 0.209
Ac2 Ac 0.337 0.750 0.611
Tl1 Tl 0.334 0.750 0.183
Cd1 Cd 0.341 0.250 0.944
Pt1 Pt 0.088 0.250 0.607
# - E_tot (eV per atom) = -4.16
# - magnetization (μB per cell) = 0.00
# - formation energy (eV per atom) = -0.65

=====

# Ac2Pr5Sm | Alexandria via LeMat-Bulk | PBE | relaxed
data_Ac2Pr5Sm
_cell_length_a 5.355
_cell_length_b 5.355
_cell_length_c 21.173
_cell_angle_alpha 90.00
_cell_angle_beta 90.00
_cell_angle_gamma 90.00
_space_group_name_H-M_alt 'I 4/m m m'
_space_group_IT_number 139
_space_group_name_Hall '-I 4 2'
loop_
_atom_site_label
_atom_site_type_symbol
_atom_site_fract_x
_atom_site_fract_y
_atom_site_fract_z
Ac1 Ac 0.000 0.000 0.250
Pr1 Pr 0.000 0.000 0.000
Pr2 Pr 0.000 0.500 0.120
Sm1 Sm 0.000 0.000 0.500
# - E_tot (eV per atom) = -4.58
# - magnetization (μB per cell) = 0.00
# - formation energy (eV per atom) = 0.02

=====

# K3ThI7 | Alexandria via LeMat-Bulk | PBE | relaxed
data_K3ThI7
_cell_length_a 12.398
_cell_length_b 11.242
_cell_length_c 9.397
_cell_angle_alpha 90.00
_cell_angle_beta 125.36
_cell_angle_gamma 90.00
_space_group_name_H-M_alt 'C 1 m 1'
_space_group_IT_number 8
loop_
_space_group_symop_operation_xyz
'x,y,z'
'x,-y,z'
'x+1/2,y+1/2,z'
'x+1/2,-y+1/2,z'
loop_
_atom_site_label
_atom_site_type_symbol
_atom_site_fract_x
_atom_site_fract_y
_atom_site_fract_z
K1 K 0.000 0.000 0.000
K2 K 0.006 0.282 0.591
Th1 Th 0.062 0.500 0.149
I1 I 0.124 0.242 0.316
I2 I 0.202 0.500 0.960
I3 I 0.363 0.000 0.252
I4 I 0.364 0.175 0.839
I5 I 0.368 0.500 0.507
# - E_tot (eV per atom) = -3.29
# - formation energy (no corrections) (eV per atom) = -1.334
# - magnetization (μB per cell) = 0.00

=====

# Ba2TlRh | Alexandria via LeMat-Bulk | PBE | relaxed
data_Ba2TlRh
_cell_length_a 3.926
_cell_length_b 5.516
_cell_length_c 12.220
_cell_angle_alpha 90.00
_cell_angle_beta 90.00
_cell_angle_gamma 90.00
_space_group_name_H-M_alt 'I m m 2'
_space_group_IT_number 44
loop_
_space_group_symop_operation_xyz
'x,y,z'
'-x,-y,z'
'-x,y,z'
'x,-y,z'
'x+1/2,y+1/2,z+1/2'
'-x+1/2,-y+1/2,z+1/2'
'-x+1/2,y+1/2,z+1/2'
'x+1/2,-y+1/2,z+1/2'
loop_
_atom_site_label
_atom_site_type_symbol
_atom_site_fract_x
_atom_site_fract_y
_atom_site_fract_z
Ba1 Ba 0.000 0.000 0.000
Ba2 Ba 0.000 0.500 0.195
Tl1 Tl 0.000 0.500 0.810
Rh1 Rh 0.000 0.000 0.473
# - E_tot (eV per atom) = -3.55
# - magnetization (μB per cell) = 0.00
# - formation energy (eV per atom) = -0.16

=====

# K3Sc5Br12 | Alexandria via LeMat-Bulk | PBE | relaxed
data_K3Sc5Br12
_cell_length_a 17.665
_cell_length_b 17.665
_cell_length_c 17.665
_cell_angle_alpha 90.00
_cell_angle_beta 90.00
_cell_angle_gamma 90.00
_space_group_name_H-M_alt 'I a -3 d'
_space_group_IT_number 230
_space_group_name_Hall '-I 4bd 2c 3'
loop_
_atom_site_label
_atom_site_type_symbol
_atom_site_fract_x
_atom_site_fract_y
_atom_site_fract_z
K1 K 0.000 0.250 0.125
Sc1 Sc 0.000 0.000 0.000
Sc2 Sc 0.000 0.250 0.375
Br1 Br 0.031 0.053 0.646
# - E_tot (eV per atom) = -4.09
# - formation energy (no corrections) (eV per atom) = -1.342
# - magnetization (μB per cell) = 47.84

=====

# Sr2AsIr | Alexandria via LeMat-Bulk | PBE | relaxed
data_Sr2AsIr
_cell_length_a 8.172
_cell_length_b 3.317
_cell_length_c 8.188
_cell_angle_alpha 90.00
_cell_angle_beta 99.04
_cell_angle_gamma 90.00
_space_group_name_H-M_alt 'C 1 2/m 1'
_space_group_IT_number 12
loop_
_space_group_symop_operation_xyz
'x,y,z'
'-x,-y,-z'
'-x,y,-z'
'x,-y,z'
'x+1/2,y+1/2,z'
'-x+1/2,-y+1/2,-z'
'-x+1/2,y+1/2,-z'
'x+1/2,-y+1/2,z'
loop_
_atom_site_label
_atom_site_type_symbol
_atom_site_fract_x
_atom_site_fract_y
_atom_site_fract_z
Sr1 Sr 0.250 0.000 0.240
As1 As 0.000 0.000 0.500
Ir1 Ir 0.000 0.500 0.000
# - E_tot (eV per atom) = -4.32
# - magnetization (μB per cell) = 1.22
# - formation energy (eV per atom) = -0.11

=====

Question: E_tot of number 7 (K3Sc5Br12)?
Answer: -4.09 eV per atom